Entry 1:
La2ErSn | PBE-GGA | optimized geometry

Values from the calculation:
Energy above the most stable polymorph in this dataset (eV per formula unit): 0.04
Energy of formation from the pure elements (kJ/mol of formula units): -167
SG: Imma, No. 74
V (A^3/atom): 31.486
Magnetic moment (μB/f.u.): 0.0

Geometry as POSCAR:
```
La2ErSn
1.0
-1.889 -4.447 4.815
4.508 -1.664 5.063
-2.554 2.393 6.039
La Er Sn
4 2 2
Cartesian
-1.077 0.514 7.299 La
1.142 -4.232 8.618 La
2.087 -2.008 6.211 La
-2.022 -1.709 9.707 La
-1.406 -2.878 6.453 Er
1.470 -0.839 9.464 Er
0.394 -2.987 11.890 Sn
-0.329 -0.731 4.027 Sn
```

Entry 2:
Pm3NdEr5 | PBE-GGA | optimized geometry

Values from the calculation:
Energy of formation from the pure elements (kJ/mol of formula units): 221
SG: I4/mcm, No. 140
V (A^3/atom): 32.425
Magnetic moment (μB/f.u.): 0.0

Geometry as POSCAR:
```
Pm3NdEr5
1.0
-7.471 -4.046 -1.768
2.488 -0.987 -8.255
5.749 -4.283 6.806
Er Nd Pm
10 2 6
Cartesian
-4.296 -5.350 -3.312 Er
-0.766 -3.245 -1.747 Er
-2.435 -5.509 -7.294 Er
3.201 -3.807 4.077 Er
-2.492 -2.517 -5.011 Er
1.532 -6.071 -1.470 Er
5.062 -3.966 0.096 Er
-0.329 -5.911 2.512 Er
0.000 0.000 0.000 Er
1.095 -3.405 -5.728 Er
-2.107 -5.423 0.014 Nd
2.873 -3.893 -3.230 Nd
-4.319 -2.612 -2.058 Pm
-0.664 -2.421 -7.965 Pm
-5.061 -4.181 -6.655 Pm
0.077 -0.852 -3.368 Pm
1.629 -3.400 0.897 Pm
-0.863 -5.916 -4.114 Pm
```

Entry 3:
TaCoSi | PBE-GGA | optimized geometry

Values from the calculation:
SG: C2/m, No. 12
V (A^3/atom): 13.487
Magnetic moment (μB/f.u.): 0.0
ΔE_f (raw) (meV/atom): -570

Geometry as POSCAR:
```
TaCoSi
1.0
-2.226 -1.641 2.343
-2.839 -3.342 -2.234
1.967 -4.681 1.395
Co Ta Si
2 2 2
Cartesian
-1.316 -1.766 0.316 Co
-1.782 -7.898 1.187 Co
-3.798 -5.729 0.791 Ta
0.700 -3.935 0.713 Ta
-1.966 -3.772 1.098 Si
-1.132 -5.893 0.405 Si
```

Entry 4:
DyScCuGe | PBE-GGA | optimized geometry

Values from the calculation:
Energy of formation from the pure elements (kJ/mol of formula units): -192
SG: F-43m, No. 216
V (A^3/atom): 19.878
Magnetic moment (μB/f.u.): 0.0

Geometry as POSCAR:
```
DyScCuGe
1.0
4.827 0.000 0.000
2.413 4.180 0.000
2.413 1.393 3.941
Sc Dy Ge Cu
1 1 1 1
Cartesian
2.413 1.393 0.985 Sc
7.240 4.180 2.956 Dy
4.827 2.787 1.970 Ge
0.000 0.000 0.000 Cu
```

Entry 5:
PmPrGaGe | PBE-GGA | optimized geometry

Values from the calculation:
Energy above the most stable polymorph in this dataset (eV per formula unit): 0.00
Energy of formation from the pure elements (kJ/mol of formula units): -293
SG: Amm2, No. 38
V (A^3/atom): 25.943
Magnetic moment (μB/f.u.): 0.4

Geometry as POSCAR:
```
PmPrGaGe
1.0
4.476 0.000 0.000
0.000 4.123 0.000
-2.238 0.000 5.624
Ge Ga Pm Pr
1 1 1 1
Cartesian
2.238 2.061 0.832 Ge
0.000 0.000 4.774 Ga
2.238 2.061 4.054 Pm
0.000 0.000 1.589 Pr
```

Entry 6:
ScAl2Cl | PBE-GGA | optimized geometry

Values from the calculation:
Energy above the most stable polymorph in this dataset (eV per formula unit): 0.47
SG: C2/m, No. 12
V (A^3/atom): 19.612
Magnetic moment (μB/f.u.): 0.0
ΔE_f (raw) (meV/atom): -411

Geometry as POSCAR:
```
ScAl2Cl
1.0
-3.599 3.728 2.927
-5.242 2.787 0.411
-1.831 -3.153 2.375
Sc Al Cl
1 2 1
Cartesian
-2.668 0.841 1.428 Sc
-5.471 1.841 2.884 Al
-8.707 6.355 3.309 Al
-8.005 2.522 4.284 Cl
```